i | Density functional theory data (PBE) for a geometry-optimized Tl6In structure.

As for the space group: P4/mmm, No. 123.

Lattice parameters (Å, degrees): 5.4668 5.4668 7.6815 90.00 90.00 90.00
Sites, in units of the cell vectors:
In: 0.0000 0.0000 0.0000
Tl: 0.5000 0.5000 0.0000
Tl: 0.0000 0.0000 0.5000
Tl: 0.0000 0.5000 0.7443
Tl: 0.0000 0.5000 0.2557
Tl: 0.5000 0.0000 0.2557
Tl: 0.5000 0.0000 0.7443


ii | Density functional theory data (PBE) for a geometry-optimized Tl6In structure.

As for the space group: P4/nbm, No. 125.

Lattice parameters (Å, degrees): 6.4928 6.4928 10.8361 90.00 90.00 90.00
Sites, in units of the cell vectors:
In: 0.5000 0.0000 0.0000
Tl: 0.1759 0.6759 0.6388
Tl: 0.3241 0.1759 0.6388
Tl: 0.6759 0.1759 0.3612
Tl: 0.8241 0.3241 0.6388
Tl: 0.5000 0.5000 0.1434
Tl: 0.1759 0.3241 0.3612
Tl: 0.5000 0.5000 0.8566
Tl: 0.0000 0.0000 0.1434
Tl: 0.6759 0.8241 0.6388
Tl: 0.3241 0.8241 0.3612
Tl: 0.8241 0.6759 0.3612
In: 0.0000 0.5000 0.0000
Tl: 0.0000 0.0000 0.8566


iii | Density functional theory data (PBE) for a geometry-optimized Tl6In structure.

As for the space group: Im-3m, No. 229.

Lattice parameters (Å, degrees): 7.3816 7.3816 7.3816 109.47 109.47 109.47
Sites, in units of the cell vectors:
Tl: 0.5000 0.2500 0.7500
Tl: 0.2500 0.5000 0.7500
Tl: 0.5000 0.7500 0.2500
Tl: 0.2500 0.7500 0.5000
In: 0.0000 0.0000 0.0000
Tl: 0.7500 0.2500 0.5000
Tl: 0.7500 0.5000 0.2500


Quick look at relative energies in eV/atom: i 0.000; ii 0.035; iii 0.330.


i | Density functional theory data (PBE) for a geometry-optimized TlIn8 structure.

As for the space group: I4/mmm, No. 139.

Lattice parameters (Å, degrees): 5.2862 7.3507 7.3507 82.57 68.93 68.93
Sites, in units of the cell vectors:
In: 0.0000 0.6637 0.3363
In: 0.6683 0.6634 0.0000
In: 0.3317 0.3366 0.0000
In: 0.6637 0.3363 0.3363
In: 0.6683 0.0000 0.6634
Tl: 0.0000 0.0000 0.0000
In: 0.0000 0.3363 0.6637
In: 0.3317 0.0000 0.3366
In: 0.3363 0.6637 0.6637


ii | Density functional theory data (PBE) for a geometry-optimized TlIn8 structure.

As for the space group: I4/mmm, No. 139.

Lattice parameters (Å, degrees): 3.7175 8.4170 8.4170 87.20 77.24 77.24
Sites, in units of the cell vectors:
In: 0.6695 0.0000 0.6611
In: 0.0000 0.6666 0.3334
In: 0.6695 0.6611 0.0000
In: 0.3305 0.0000 0.3389
In: 0.6666 0.3334 0.3334
In: 0.0000 0.3334 0.6666
Tl: 0.0000 0.0000 0.0000
In: 0.3305 0.3389 0.0000
In: 0.3334 0.6666 0.6666


Quick look at relative energies in eV/atom: i 0.000; ii 0.015.


i | Density functional theory data (PBE) for a geometry-optimized Tl5In structure.

As for the space group: P4/mmm, No. 123.

Lattice parameters (Å, degrees): 3.9686 3.9686 11.5703 90.00 90.00 90.00
Sites, in units of the cell vectors:
In: 0.5000 0.5000 0.5000
Tl: 0.0000 0.0000 0.3402
Tl: 0.0000 0.0000 0.0000
Tl: 0.0000 0.0000 0.6598
Tl: 0.5000 0.5000 0.8289
Tl: 0.5000 0.5000 0.1711


ii | Density functional theory data (PBE) for a geometry-optimized Tl5In structure.

As for the space group: P-6m2, No. 187.

Lattice parameters (Å, degrees): 3.5040 3.5040 17.0316 90.00 90.00 120.00
Sites, in units of the cell vectors:
Tl: 0.6667 0.3333 0.1622
In: 0.0000 0.0000 0.0000
Tl: 0.6667 0.3333 0.5000
Tl: 0.0000 0.0000 0.6670
Tl: 0.6667 0.3333 0.8378
Tl: 0.0000 0.0000 0.3330


iii | Density functional theory data (PBE) for a geometry-optimized Tl5In structure.

As for the space group: F-43m, No. 216.

Lattice parameters (Å, degrees): 6.4926 6.4926 6.4926 60.00 60.00 60.00
Sites, in units of the cell vectors:
Tl: 0.1250 0.6250 0.6250
Tl: 0.6250 0.1250 0.6250
Tl: 0.2500 0.2500 0.2500
Tl: 0.6250 0.6250 0.1250
Tl: 0.6250 0.6250 0.6250
In: 0.0000 0.0000 0.0000


Quick look at relative energies in eV/atom: i 0.009; ii 0.000; iii 0.099.